Entry 1:
Computed, not measured: a relaxed BaTa2Tc crystal at the PBEsol level of DFT.

Unit cell a=2.8413 b=5.5063 c=5.8217 alpha=118.22 beta=90.00 gamma=90.00
Closest atoms and distances in Å follow each position.
Atoms (fractional coordinates):
1 Ba 0.5000 0.5000 0.0000  2 Tc 2.75, 2 Ba 2.84
2 Tc 0.5000 0.0000 0.0000  2 Ba 2.75, 2 Tc 2.84
3 Ta 0.0000 0.5000 0.5000  4 Ta 2.75-2.84
4 Ta 0.0000 0.0000 0.5000  4 Ta 2.75-2.84

Calculated values
- D(E_F): 3.97 states/eV/f.u.
- Symmetry: Cmmm (65)
- E: -8.41 eV/atom
- Energy of formation: 1.218 eV per atom
- Offset from the most stable computed form: 472 meV/atom
- Magnetization: 0.0 μB per formula unit
- Calculated density: 12357 kg/m³

---

Entry 2:
Computed, not measured: a relaxed Ba2TaTc crystal at the PBEsol level of DFT.

Unit cell a=3.3892 b=3.9296 c=9.7277 alpha=99.43 beta=100.03 gamma=90.00
Closest atoms and distances in Å follow each position.
Atoms (fractional coordinates):
1 Ba 0.3505 0.3823 0.7010  2 Tc 3.29, 2 Ba 3.39, 2 Ta 3.43-3.45
2 Ba 0.6495 0.6177 0.2990  2 Tc 3.29, 2 Ba 3.39, 2 Ta 3.43-3.45
3 Ta 0.5000 0.0000 0.0000  4 Tc 2.59
4 Tc 0.0000 0.5000 0.0000  4 Ta 2.59

Calculated values
- D(E_F): 4.35 states/eV/f.u.
- Symmetry: C2/m (12)
- E: -6.45 eV/atom
- Energy of formation: 0.582 eV per atom
- Offset from the most stable computed form: 0 meV/atom
- Magnetization: 0.0 μB per formula unit
- Calculated density: 7308 kg/m³

---

Entry 3:
Computed, not measured: a relaxed BaTa2Tc crystal at the PBEsol level of DFT.

Unit cell a=3.2285 b=4.3336 c=7.7203 alpha=106.30 beta=102.07 gamma=90.00
Closest atoms and distances in Å follow each position.
Atoms (fractional coordinates):
1 Ta 0.8543 0.3543 0.7087  2 Tc 2.48, 2 Ta 2.77
2 Ta 0.9735 0.9735 0.9469  4 Tc 2.71, 2 Ta 2.77
3 Tc 0.4847 0.4847 0.9694  6 Ta 2.48-2.71
4 Ba 0.1875 0.6875 0.3751  2 Ba 3.23, 2 Tc 3.35

Calculated values
- D(E_F): 4.37 states/eV/f.u.
- Symmetry: Imm2 (44)
- E: -8.88 eV/atom
- Energy of formation: 0.746 eV per atom
- Offset from the most stable computed form: 0 meV/atom
- Magnetization: 0.0 μB per formula unit
- Calculated density: 9801 kg/m³

---

Entry 4:
Computed, not measured: a relaxed BaTa2Tc crystal at the PBEsol level of DFT.

Unit cell a=2.9485 b=5.5315 c=5.6529 alpha=115.50 beta=98.65 gamma=103.03
Closest atoms and distances in Å follow each position.
Atoms (fractional coordinates):
1 Tc 0.5000 0.0000 0.0000  2 Ba 2.83, 2 Tc 2.95, 4 Ta 2.98
2 Ta 0.0000 0.0000 0.5000  4 Ta 2.83-2.95, 2 Tc 2.98, 2 Ba 2.98
3 Ba 0.0000 0.5000 0.0000  2 Tc 2.83, 2 Ba 2.95, 4 Ta 2.98
4 Ta 0.5000 0.5000 0.5000  4 Ta 2.83-2.95, 2 Ba 2.98, 2 Tc 2.98

Calculated values
- D(E_F): 4.66 states/eV/f.u.
- Symmetry: C2/m (12)
- E: -8.52 eV/atom
- Energy of formation: 1.106 eV per atom
- Offset from the most stable computed form: 360 meV/atom
- Magnetization: 0.0 μB per formula unit
- Calculated density: 12748 kg/m³